! As2PtAu | Alexandria | PBE-GGA | relaxed; values from VASP
! density of states at the Fermi level = 1.813 states/eV/cell
! spin magnetization = 0.000 μB per formula unit
! uncorrected energy = -0.3332 Ry/atom
! calculated volume = 72.3 Å³/cell
&SYSTEM
  ibrav = 0, nat = 4, ntyp = 3
/
ATOMIC_SPECIES
As 74.92 As.upf
Au 196.97 Au.upf
Pt 195.08 Pt.upf
CELL_PARAMETERS angstrom
-3.049 4.816 0.780
-4.689 -0.003 3.334
5.672 -0.733 -0.622
ATOMIC_POSITIONS crystal
As 0.026 0.026 0.000
As 0.745 0.245 0.500
Au 0.490 0.490 0.000
Pt 0.239 0.739 0.500